# 1
Here is a relaxed SmAsPd2 crystal from Alexandria. Energies are from PBE-GGA.

- Space group: P2/m
- Size of the total moment: 0.00 Bohr magnetons per cell
- Total energy: -22.60 eV/f.u.

Cell lengths 4.2443, 3.6920, 5.3956 Å; angles 89.91, 90.00, 90.00 degrees
Closest atoms and distances in Å follow each position.
Fractional positions:
Sm: 0.5000 0.5000 0.0000  8 Pd 3.11, 4 As 3.27
As: 0.5000 0.0000 0.5000  4 Pd 2.52
Pd: 0.0000 0.9996 0.2474  2 As 2.52, 2 Pd 2.67-2.73
Pd: 0.0000 0.0004 0.7526  2 As 2.52, 2 Pd 2.67-2.73

***

# 2
Here is a relaxed SmAs2Pd5 crystal from Alexandria. Energies are from PBE-GGA.

- Space group: Immm
- Size of the total moment: 0.00 Bohr magnetons per cell
- Total energy: -45.04 eV/f.u.

Cell lengths 4.1259, 6.3438, 6.3438 Å; angles 70.08, 71.02, 71.02 degrees
Closest atoms and distances in Å follow each position.
Fractional positions:
Sm: 0.0000 0.0000 0.0000  4 As 3.11, 8 Pd 3.36
As: 0.7447 0.7553 0.7553  7 Pd 2.41-2.69
As: 0.2553 0.2447 0.2447  7 Pd 2.41-2.69
Pd: 0.0000 0.5000 0.5000  2 As 2.43
Pd: 0.6493 0.5440 0.1574  3 As 2.41-2.69
Pd: 0.3507 0.4560 0.8426  3 As 2.41-2.69
Pd: 0.3507 0.8426 0.4560  3 As 2.41-2.69
Pd: 0.6493 0.1574 0.5440  3 As 2.41-2.69

***

# 3
Here is a relaxed SmAs2Pd crystal from Alexandria. Energies are from PBE-GGA.

- Space group: R-3m
- Size of the total moment: 0.00 Bohr magnetons per cell
- Total energy: -19.59 eV/f.u.

Cell lengths 3.5454, 3.5454, 9.1538 Å; angles 78.83, 78.83, 60.00 degrees
Closest atoms and distances in Å follow each position.
Fractional positions:
As: 0.1094 0.1094 0.6718  3 Pd 2.56
As: 0.8906 0.8906 0.3282  3 Pd 2.56
Pd: 0.5000 0.5000 0.5000  6 As 2.56
Sm: 0.0000 0.0000 0.0000  2 As 2.93

***

# 4
Here is a relaxed SmAs2Pd6 crystal from Alexandria. Energies are from PBE-GGA.

- Space group: P4/mmm
- Size of the total moment: 0.00 Bohr magnetons per cell
- Offset from the most stable computed form: 0.0 meV/atom

Cell lengths 4.2096, 4.2096, 8.8451 Å; angles 90.00, 90.00, 90.00 degrees
Closest atoms and distances in Å follow each position.
Fractional positions:
Sm: 0.0000 0.0000 0.0000  8 As 3.23, 8 Pd 3.29
As: 0.5000 0.5000 0.1414  4 Pd 2.46, 1 As 2.50
As: 0.5000 0.5000 0.8586  4 Pd 2.46, 1 As 2.50
Pd: 0.0000 0.5000 0.2864  2 As 2.46
Pd: 0.5000 0.0000 0.2864  2 As 2.46
Pd: 0.0000 0.5000 0.7136  2 As 2.46
Pd: 0.5000 0.0000 0.7136  2 As 2.46
Pd: 0.5000 0.5000 0.5000  12 Pd 2.83-2.98
Pd: 0.0000 0.0000 0.5000  12 Pd 2.83-2.98

***

# 5
Here is a relaxed SmAsPd3 crystal from Alexandria. Energies are from PBE-GGA.

- Space group: I-4m2
- Size of the total moment: 0.00 Bohr magnetons per cell
- Total energy: -27.38 eV/f.u.

Cell lengths 5.2461, 5.2461, 8.9340 Å; angles 107.07, 107.07, 90.00 degrees
Closest atoms and distances in Å follow each position.
Fractional positions:
Sm: 0.5952 0.0952 0.1904  6 Pd 2.98-3.13, 2 As 3.05
Sm: 0.9048 0.4048 0.8096  6 Pd 2.98-3.13, 2 As 3.05
As: 0.0000 0.0000 0.0000  4 Pd 2.43
As: 0.2500 0.7500 0.5000  4 Pd 2.41
Pd: 0.6199 0.8752 0.7504  2 As 2.41-2.43, 2 Pd 2.57-2.68
Pd: 0.1248 0.8694 0.2496  2 As 2.41-2.43, 2 Pd 2.57-2.68
Pd: 0.1248 0.3801 0.2496  2 As 2.41-2.43, 2 Pd 2.57-2.68
Pd: 0.1306 0.8752 0.7504  2 As 2.41-2.43, 2 Pd 2.57-2.68
Pd: 0.2998 0.2998 0.5996  2 As 2.75
Pd: 0.7002 0.7002 0.4004  2 As 2.75

***

# 6
Here is a relaxed SmAs2Pd6 crystal from Alexandria. Energies are from PBE-GGA.

- Space group: P6/mmm
- Size of the total moment: 0.00 Bohr magnetons per cell
- Offset from the most stable computed form: 81.0 meV/atom

Cell lengths 5.6175, 5.6175, 6.5676 Å; angles 90.00, 90.00, 120.00 degrees
Closest atoms and distances in Å follow each position.
Fractional positions:
Sm: 0.0000 0.0000 0.0000  12 Pd 3.13
As: 0.3333 0.6667 0.5000  6 Pd 2.50
As: 0.6667 0.3333 0.5000  6 Pd 2.50
Pd: 0.4997 0.0000 0.2104  2 As 2.50, 1 Pd 2.76
Pd: 0.5003 0.5003 0.2104  2 As 2.50, 1 Pd 2.76
Pd: 0.0000 0.4997 0.2104  2 As 2.50, 1 Pd 2.76
Pd: 0.4997 0.4997 0.7896  2 As 2.50, 1 Pd 2.76
Pd: 0.0000 0.5003 0.7896  2 As 2.50, 1 Pd 2.76
Pd: 0.5003 0.0000 0.7896  2 As 2.50, 1 Pd 2.76